No. 1
Material: CdHgSO
Method: DFT, PBE-GGA
State: relaxed

Lattice parameters (Å, degrees): 7.024 13.358 7.108 90.00 90.00 90.00
Element x y z (fractional)
Cd1 0.013 0.239 0.143
Cd2 0.013 0.261 0.643
Cd3 0.487 0.739 0.143
Cd4 0.487 0.761 0.643
Cd5 0.513 0.239 0.357
Cd6 0.513 0.261 0.857
Cd7 0.987 0.739 0.357
Cd8 0.987 0.761 0.857
Hg1 0.248 0.546 0.944
Hg2 0.248 0.954 0.444
Hg3 0.252 0.046 0.944
Hg4 0.252 0.454 0.444
Hg5 0.748 0.546 0.556
Hg6 0.748 0.954 0.056
Hg7 0.752 0.046 0.556
Hg8 0.752 0.454 0.056
S1 0.049 0.554 0.234
S2 0.049 0.946 0.734
S3 0.451 0.054 0.234
S4 0.451 0.446 0.734
S5 0.549 0.554 0.266
S6 0.549 0.946 0.766
S7 0.951 0.054 0.266
S8 0.951 0.446 0.766
O1 0.202 0.218 0.886
O2 0.202 0.282 0.386
O3 0.298 0.718 0.886
O4 0.298 0.782 0.386
O5 0.702 0.218 0.614
O6 0.702 0.282 0.114
O7 0.798 0.718 0.614
O8 0.798 0.782 0.114

**Crystal system**: orthorhombic
**Relative energy among the computed polymorphs**: 0.080 eV/atom
**Total energy**: -2.999 eV/atom
**Calculated density**: 7.2 Mg/m³

---

No. 2
Material: GdDy2Mg3InGa2
Method: DFT, PBE-GGA
State: relaxed

Lattice parameters (Å, degrees): 4.561 7.344 7.344 120.17 90.00 90.00
Element x y z (fractional)
Gd1 0.000 0.000 0.000
Dy1 0.000 0.437 0.874
Dy2 0.000 0.874 0.437
Mg1 0.500 0.188 0.438
Mg2 0.500 0.438 0.188
Mg3 0.500 0.687 0.687
In1 0.000 0.439 0.439
Ga1 0.500 0.105 0.770
Ga2 0.500 0.770 0.105

**Crystal system**: orthorhombic
**Total energy**: -3.498 eV/atom
**Calculated density**: 6.3 Mg/m³

---

No. 3
Material: PaGaPO
Method: DFT, PBE-GGA
State: relaxed

Lattice parameters (Å, degrees): 3.745 3.745 10.049 90.00 90.00 90.00
Element x y z (fractional)
Pa1 0.250 0.250 0.144
Pa2 0.750 0.750 0.856
Ga1 0.250 0.750 0.500
Ga2 0.750 0.250 0.500
P1 0.250 0.250 0.741
P2 0.750 0.750 0.259
O1 0.250 0.750 0.000
O2 0.750 0.250 0.000

**Crystal system**: tetragonal
**Relative energy among the computed polymorphs**: 0.000 eV/atom
**Total energy**: -6.771 eV/atom
**Calculated density**: 8.2 Mg/m³

---

No. 4
Material: NaAg3Cl6
Method: DFT, PBE-GGA
State: relaxed

Lattice parameters (Å, degrees): 8.046 8.046 4.219 90.00 90.00 110.80
Element x y z (fractional)
Na1 0.000 0.000 0.000
Ag1 0.000 0.500 0.500
Ag2 0.500 0.000 0.500
Ag3 0.500 0.500 0.000
Cl1 0.159 0.841 0.500
Cl2 0.184 0.435 0.000
Cl3 0.435 0.184 0.000
Cl4 0.565 0.816 0.000
Cl5 0.816 0.565 0.000
Cl6 0.841 0.159 0.500

**Crystal system**: orthorhombic
**Total energy**: -2.748 eV/atom
**Calculated density**: 3.6 Mg/m³

---

No. 5
Material: PrTm
Method: DFT, PBE-GGA
State: relaxed

Lattice parameters (Å, degrees): 4.984 4.984 4.984 60.00 60.00 60.00
Element x y z (fractional)
Pr1 0.000 0.000 0.000
Tm1 0.750 0.750 0.750

**Crystal system**: cubic
**Relative energy among the computed polymorphs**: 1.651 eV/atom
**Total energy**: -2.927 eV/atom
**Calculated density**: 5.9 Mg/m³
**Calculated formation energy**: 1.697 eV per atom

---

No. 6
Material: YHf2Mo
Method: DFT, PBE-GGA
State: relaxed

Lattice parameters (Å, degrees): 4.962 4.962 4.962 60.00 60.00 60.00
Element x y z (fractional)
Y1 0.000 0.000 0.000
Hf1 0.500 0.500 0.500
Hf2 0.750 0.750 0.750
Mo1 0.250 0.250 0.250

**Crystal system**: cubic
**Total energy**: -8.950 eV/atom
**Calculated density**: 10.4 Mg/m³
**Calculated formation energy**: 0.356 eV per atom

---

No. 7
Material: ZrW
Method: DFT, PBE-GGA
State: relaxed

Lattice parameters (Å, degrees): 4.789 8.541 5.584 90.00 90.00 90.00
Element x y z (fractional)
Zr1 0.000 0.123 0.000
Zr2 0.000 0.221 0.488
Zr3 0.000 0.779 0.988
Zr4 0.000 0.877 0.500
Zr5 0.500 0.306 0.766
Zr6 0.500 0.694 0.266
W1 0.000 0.459 0.021
W2 0.000 0.541 0.521
W3 0.500 0.051 0.266
W4 0.500 0.361 0.253
W5 0.500 0.639 0.753
W6 0.500 0.949 0.766

**Crystal system**: orthorhombic
**Total energy**: -10.483 eV/atom
**Calculated density**: 12.0 Mg/m³
**Calculated formation energy**: 0.271 eV per atom

---

No. 8
Material: HoAgAu
Method: DFT, PBE-GGA
State: relaxed

Lattice parameters (Å, degrees): 4.765 4.765 4.765 60.00 60.00 60.00
Element x y z (fractional)
Ho1 0.000 0.000 0.000
Ag1 0.750 0.750 0.750
Au1 0.250 0.250 0.250

**Crystal system**: cubic
**Relative energy among the computed polymorphs**: 0.403 eV/atom
**Total energy**: -3.787 eV/atom
**Calculated density**: 10.2 Mg/m³
**Calculated formation energy**: -0.231 eV per atom

---

No. 9
Material: PrGaGePt2
Method: DFT, PBE-GGA
State: relaxed

Lattice parameters (Å, degrees): 4.371 4.371 10.218 90.00 90.00 90.00
Element x y z (fractional)
Pr1 0.250 0.250 0.245
Pr2 0.750 0.750 0.755
Ga1 0.250 0.250 0.630
Ga2 0.750 0.750 0.370
Ge1 0.250 0.750 0.000
Ge2 0.750 0.250 0.000
Pt1 0.250 0.250 0.874
Pt2 0.250 0.750 0.500
Pt3 0.750 0.250 0.500
Pt4 0.750 0.750 0.126

**Crystal system**: tetragonal
**Relative energy among the computed polymorphs**: 0.025 eV/atom
**Total energy**: -5.840 eV/atom
**Calculated density**: 11.5 Mg/m³

---

No. 10
Material: GePt15
Method: DFT, PBE-GGA
State: relaxed

Lattice parameters (Å, degrees): 5.550 2.815 45.242 90.00 90.00 90.00
Element x y z (fractional)
Ge1 0.125 0.250 0.171
Ge2 0.875 0.750 0.829
Pt1 0.124 0.250 0.699
Pt2 0.124 0.250 0.788
Pt3 0.125 0.250 0.257
Pt4 0.125 0.250 0.346
Pt5 0.125 0.250 0.434
Pt6 0.125 0.250 0.522
Pt7 0.125 0.250 0.610
Pt8 0.374 0.750 0.212
Pt9 0.374 0.750 0.301
Pt10 0.375 0.750 0.390
Pt11 0.375 0.750 0.478
Pt12 0.375 0.750 0.566
Pt13 0.375 0.750 0.655
Pt14 0.375 0.750 0.743
Pt15 0.375 0.750 0.832
Pt16 0.625 0.250 0.168
Pt17 0.625 0.250 0.257
Pt18 0.625 0.250 0.345
Pt19 0.625 0.250 0.434
Pt20 0.625 0.250 0.522
Pt21 0.625 0.250 0.610
Pt22 0.626 0.250 0.699
Pt23 0.626 0.250 0.788
Pt24 0.875 0.750 0.390
Pt25 0.875 0.750 0.478
Pt26 0.875 0.750 0.566
Pt27 0.875 0.750 0.654
Pt28 0.875 0.750 0.743
Pt29 0.876 0.750 0.212
Pt30 0.876 0.750 0.301

**Crystal system**: monoclinic
**Relative energy among the computed polymorphs**: 0.011 eV/atom
**Total energy**: -5.936 eV/atom
**Calculated density**: 14.1 Mg/m³

---

No. 11
Material: PmDyZn
Method: DFT, PBE-GGA
State: relaxed

Lattice parameters (Å, degrees): 4.989 4.989 4.989 60.00 60.00 60.00
Element x y z (fractional)
Pm1 0.000 0.000 0.000
Dy1 0.500 0.500 0.500
Zn1 0.750 0.750 0.750

**Crystal system**: cubic
**Relative energy among the computed polymorphs**: 0.000 eV/atom
**Total energy**: -3.513 eV/atom
**Calculated density**: 7.1 Mg/m³
**Calculated formation energy**: 0.024 eV per atom

---

No. 12
Material: GdHfCo
Method: DFT, PBE-GGA
State: relaxed

Lattice parameters (Å, degrees): 4.525 4.525 4.525 60.00 60.00 60.00
Element x y z (fractional)
Gd1 0.000 0.000 0.000
Hf1 0.250 0.250 0.250
Co1 0.750 0.750 0.750

**Crystal system**: cubic
**Total energy**: -6.138 eV/atom
**Calculated density**: 10.0 Mg/m³
**Calculated formation energy**: 1.101 eV per atom

---

No. 13
Material: Y2HoFeNi8
Method: DFT, PBE-GGA
State: relaxed

Lattice parameters (Å, degrees): 8.577 8.577 8.577 33.61 33.61 33.61
Element x y z (fractional)
Y1 0.139 0.139 0.139
Y2 0.861 0.861 0.861
Ho1 0.000 0.000 0.000
Fe1 0.500 0.500 0.500
Ni1 0.082 0.582 0.582
Ni2 0.333 0.333 0.333
Ni3 0.418 0.418 0.918
Ni4 0.418 0.918 0.418
Ni5 0.582 0.082 0.582
Ni6 0.582 0.582 0.082
Ni7 0.667 0.667 0.667
Ni8 0.918 0.418 0.418

**Crystal system**: trigonal
**Total energy**: -6.201 eV/atom
**Calculated density**: 8.4 Mg/m³
**Calculated formation energy**: -0.338 eV per atom

---

No. 14
Material: CsLaHg
Method: DFT, PBE-GGA
State: relaxed

Lattice parameters (Å, degrees): 5.746 5.746 5.746 60.00 60.00 60.00
Element x y z (fractional)
Cs1 0.000 0.000 0.000
La1 0.500 0.500 0.500
Hg1 0.250 0.250 0.250

**Crystal system**: cubic
**Total energy**: -1.699 eV/atom
**Calculated density**: 5.8 Mg/m³

---

No. 15
Material: MgZnSnP2
Method: DFT, PBE-GGA
State: relaxed

Lattice parameters (Å, degrees): 4.175 4.175 6.872 90.00 90.00 120.00
Element x y z (fractional)
Mg1 0.000 0.000 0.000
Zn1 0.333 0.667 0.264
Sn1 0.667 0.333 0.627
P1 0.000 0.000 0.373
P2 0.333 0.667 0.882

**Crystal system**: trigonal
**Total energy**: -3.766 eV/atom
**Calculated density**: 4.3 Mg/m³

---

No. 16
Material: AlOsNO
Method: DFT, PBE-GGA
State: relaxed

Lattice parameters (Å, degrees): 2.959 5.736 5.056 90.00 90.00 90.00
Element x y z (fractional)
Al1 0.000 0.141 0.000
Al2 0.000 0.859 0.500
Os1 0.500 0.407 0.549
Os2 0.500 0.593 0.049
N1 0.000 0.163 0.635
N2 0.000 0.837 0.135
O1 0.500 0.245 0.163
O2 0.500 0.755 0.663

**Crystal system**: orthorhombic
**Relative energy among the computed polymorphs**: 0.052 eV/atom
**Total energy**: -7.763 eV/atom
**Calculated density**: 9.6 Mg/m³

---

No. 17
Material: TcGeAsO
Method: DFT, PBE-GGA
State: relaxed

Lattice parameters (Å, degrees): 3.678 3.678 9.805 90.00 90.00 90.00
Element x y z (fractional)
Tc1 0.250 0.750 0.000
Tc2 0.750 0.250 0.000
Ge1 0.250 0.250 0.396
Ge2 0.750 0.750 0.604
As1 0.250 0.250 0.818
As2 0.750 0.750 0.182
O1 0.250 0.750 0.500
O2 0.750 0.250 0.500

**Crystal system**: tetragonal
**Relative energy among the computed polymorphs**: 0.000 eV/atom
**Total energy**: -6.601 eV/atom
**Calculated density**: 6.5 Mg/m³

---

No. 18
Material: Lu3SiNi4
Method: DFT, PBE-GGA
State: relaxed

Lattice parameters (Å, degrees): 5.077 4.096 6.423 90.00 95.47 90.00
Element x y z (fractional)
Lu1 0.000 0.000 0.000
Lu2 0.192 0.000 0.494
Lu3 0.498 0.500 0.871
Si1 0.742 0.500 0.338
Ni1 0.245 0.500 0.231
Ni2 0.552 0.000 0.200
Ni3 0.704 0.000 0.588
Ni4 0.965 0.500 0.690

**Crystal system**: monoclinic
**Total energy**: -5.667 eV/atom
**Calculated density**: 9.8 Mg/m³

---

No. 19
Material: NiHgSbW
Method: DFT, PBE-GGA
State: relaxed

Lattice parameters (Å, degrees): 4.735 4.735 4.735 60.00 60.00 60.00
Element x y z (fractional)
Ni1 0.000 0.000 0.000
Hg1 0.500 0.500 0.500
Sb1 0.750 0.750 0.750
W1 0.250 0.250 0.250

**Crystal system**: cubic
**Total energy**: -4.715 eV/atom
**Calculated density**: 12.5 Mg/m³

---

No. 20
Material: LiAl2Cu4Ni
Method: DFT, PBE-GGA
State: relaxed

Lattice parameters (Å, degrees): 4.088 4.088 5.799 90.00 90.00 90.00
Element x y z (fractional)
Li1 0.000 0.000 0.000
Al1 0.000 0.000 0.500
Al2 0.500 0.500 0.000
Cu1 0.000 0.500 0.249
Cu2 0.000 0.500 0.751
Cu3 0.500 0.000 0.249
Cu4 0.500 0.000 0.751
Ni1 0.500 0.500 0.500

**Crystal system**: tetragonal
**Relative energy among the computed polymorphs**: 0.006 eV/atom
**Total energy**: -3.947 eV/atom
**Calculated density**: 6.4 Mg/m³